Below is an optimized crystal structure of Ho5Er2Sc2, with properties calculated at the GGA-PBE level.

Geometry as POSCAR:
```
Ho5Er2Sc2
1.0
8.235 0.000 0.000
0.000 6.869 0.000
-4.117 -3.435 9.614
Er Ho Sc
4 10 4
direct
0.195 0.288 0.500 Er
0.805 0.788 0.500 Er
0.000 0.037 0.000 Er
0.500 0.537 0.000 Er
0.203 0.787 0.500 Ho
0.860 0.397 0.220 Ho
0.797 0.287 0.500 Ho
0.586 0.623 0.671 Ho
0.140 0.177 0.780 Ho
0.860 0.897 0.220 Ho
0.414 0.952 0.329 Ho
0.140 0.677 0.780 Ho
0.585 0.123 0.671 Ho
0.415 0.452 0.329 Ho
0.829 0.495 0.916 Sc
0.587 0.995 0.916 Sc
0.413 0.079 0.084 Sc
0.171 0.579 0.084 Sc
```

Values from the calculation:
- E_form: 0.22 eV per atom
- Spin magnetization: 0.01 Bohr magnetons per cell
- Symmetry: Ima2 (46)
- V: 544 Å³ per cell
- VASP energy: -4.749 eV/atom

***

Below is an optimized crystal structure of Ho2Er6Sc, with properties calculated at the GGA-PBE level.

Geometry as POSCAR:
```
Ho2Er6Sc
1.0
-4.464 2.056 -0.171
-0.072 -6.034 0.052
10.261 23.120 10.066
Er Ho Sc
6 2 1
direct
0.777 0.554 0.555 Er
0.451 0.901 0.891 Er
0.223 0.446 0.445 Er
0.102 0.205 0.219 Er
0.898 0.795 0.781 Er
0.549 0.099 0.109 Er
0.342 0.684 0.670 Ho
0.658 0.316 0.330 Ho
0.000 0.000 0.000 Sc
```

Values from the calculation:
- E_form: 0.03 eV per atom
- Spin magnetization: 0.00 Bohr magnetons per cell
- Symmetry: C2/m (12)
- V: 269 Å³ per cell
- VASP energy: -4.729 eV/atom

***

Below is an optimized crystal structure of Ho5Er4Sc, with properties calculated at the GGA-PBE level.

Geometry as POSCAR:
```
Ho5Er4Sc
1.0
5.696 0.000 0.000
2.848 7.414 0.000
2.848 0.000 7.414
Ho Er Sc
5 4 1
direct
0.145 0.000 0.626 Ho
0.771 0.000 0.374 Ho
0.771 0.374 0.000 Ho
0.145 0.626 0.000 Ho
0.676 0.000 0.000 Ho
0.449 0.677 0.323 Er
0.772 0.677 0.677 Er
0.449 0.323 0.677 Er
0.126 0.323 0.323 Er
0.207 0.000 0.000 Sc
```

Values from the calculation:
- E_form: 0.24 eV per atom
- Spin magnetization: 0.00 Bohr magnetons per cell
- Symmetry: I4mm (107)
- V: 313 Å³ per cell
- VASP energy: -4.503 eV/atom

***

> Among the records above, which one has the highest E_form?

Ho5Er4Sc

***

> The lowest E_form belongs to which entry?

Ho2Er6Sc